(1)
{"formula": "BaYSb2", "functional": "PBE-GGA", "state": "optimized geometry", "polymorph_energy_mev_per_atom": 184, "lattice_angstrom": [[12.409, 0.000, 0.000], [0.000, 4.466, 0.000], [-0.415, 0.000, 4.905]], "species": ["Ba", "Ba", "Y", "Y", "Sb", "Sb", "Sb", "Sb"], "frac_coords": [[0.000, 0.000, 0.000], [0.500, 0.500, 0.000], [0.247, 0.500, 0.518], [0.747, 0.000, 0.518], [0.265, 0.000, 0.034], [0.465, 0.000, 0.489], [0.765, 0.500, 0.034], [0.965, 0.500, 0.489]]}

(2)
{"formula": "SmMg2Al6", "functional": "PBE-GGA", "state": "optimized geometry", "formation_energy_ev_per_atom": -0.13, "lattice_angstrom": [[7.966, 0.000, 0.000], [-3.983, 6.899, 0.000], [0.000, 0.000, 3.310]], "species": ["Sm", "Mg", "Mg", "Al", "Al", "Al", "Al", "Al", "Al"], "frac_coords": [[0.000, 0.000, 0.000], [0.333, 0.667, 0.000], [0.667, 0.333, 0.000], [0.000, 0.337, 0.500], [0.000, 0.663, 0.500], [0.337, 0.000, 0.500], [0.337, 0.337, 0.500], [0.663, 0.000, 0.500], [0.663, 0.663, 0.500]]}

(3)
{"formula": "BaAc2La", "functional": "PBE-GGA", "state": "optimized geometry", "polymorph_energy_mev_per_atom": 14, "formation_energy_ev_per_atom": 0.06, "lattice_angstrom": [[4.017, 0.000, 0.000], [-2.008, 3.479, 0.000], [0.000, 0.000, 39.540]], "species": ["Ba", "Ba", "Ba", "Ac", "Ac", "Ac", "Ac", "Ac", "Ac", "La", "La", "La"], "frac_coords": [[0.000, 0.000, 0.000], [0.333, 0.667, 0.667], [0.667, 0.333, 0.333], [0.000, 0.000, 0.423], [0.000, 0.000, 0.578], [0.333, 0.667, 0.089], [0.333, 0.667, 0.244], [0.667, 0.333, 0.756], [0.667, 0.333, 0.911], [0.000, 0.000, 0.167], [0.333, 0.667, 0.833], [0.667, 0.333, 0.500]]}

(4)
{"formula": "AlTcBr2", "functional": "PBE-GGA", "state": "optimized geometry", "polymorph_energy_mev_per_atom": 631, "lattice_angstrom": [[3.463, 0.000, 0.000], [-1.732, 2.999, 0.000], [0.000, 0.000, 28.561]], "species": ["Al", "Al", "Al", "Tc", "Tc", "Tc", "Br", "Br", "Br", "Br", "Br", "Br"], "frac_coords": [[0.000, 0.000, 0.000], [0.333, 0.667, 0.667], [0.667, 0.333, 0.333], [0.000, 0.000, 0.500], [0.333, 0.667, 0.167], [0.667, 0.333, 0.833], [0.000, 0.000, 0.109], [0.000, 0.000, 0.891], [0.333, 0.667, 0.557], [0.333, 0.667, 0.776], [0.667, 0.333, 0.224], [0.667, 0.333, 0.443]]}

(5)
{"formula": "Mn2PPd8", "functional": "PBE-GGA", "state": "optimized geometry", "formation_energy_ev_per_atom": -0.29, "lattice_angstrom": [[-2.236, 2.820, 6.678], [2.236, -2.820, 6.678], [2.236, 2.820, -6.678]], "species": ["Mn", "Mn", "P", "Pd", "Pd", "Pd", "Pd", "Pd", "Pd", "Pd", "Pd"], "frac_coords": [[0.188, 0.188, 0.000], [0.812, 0.812, 0.000], [0.500, 0.500, 0.000], [0.110, 0.368, 0.743], [0.250, 0.000, 0.250], [0.312, 0.812, 0.500], [0.375, 0.632, 0.743], [0.625, 0.368, 0.257], [0.688, 0.188, 0.500], [0.750, 0.000, 0.750], [0.890, 0.632, 0.257]]}

(6)
{"formula": "Sc2As", "functional": "PBE-GGA", "state": "optimized geometry", "formation_energy_ev_per_atom": 0.01, "lattice_angstrom": [[0.000, 3.985, 3.985], [3.985, 0.000, 3.985], [3.985, 3.985, 0.000]], "species": ["Sc", "Sc", "Sc", "Sc", "As", "As"], "frac_coords": [[0.000, 0.000, 0.000], [0.000, 0.000, 0.500], [0.000, 0.500, 0.000], [0.500, 0.000, 0.000], [0.375, 0.375, 0.375], [0.625, 0.625, 0.625]]}

(7)
{"formula": "Nd6CdHg", "functional": "PBE-GGA", "state": "optimized geometry", "formation_energy_ev_per_atom": -0.19, "lattice_angstrom": [[5.296, 0.000, 0.000], [0.000, 5.296, 0.000], [0.000, 0.000, 18.177]], "species": ["Nd", "Nd", "Nd", "Nd", "Nd", "Nd", "Nd", "Nd", "Nd", "Nd", "Nd", "Nd", "Cd", "Cd", "Hg", "Hg"], "frac_coords": [[0.000, 0.000, 0.249], [0.000, 0.000, 0.751], [0.000, 0.500, 0.111], [0.000, 0.500, 0.389], [0.000, 0.500, 0.611], [0.000, 0.500, 0.889], [0.500, 0.000, 0.111], [0.500, 0.000, 0.389], [0.500, 0.000, 0.611], [0.500, 0.000, 0.889], [0.500, 0.500, 0.251], [0.500, 0.500, 0.749], [0.000, 0.000, 0.000], [0.500, 0.500, 0.500], [0.000, 0.000, 0.500], [0.500, 0.500, 0.000]]}

(8)
{"formula": "RbSeF4", "functional": "PBE-GGA", "state": "optimized geometry", "polymorph_energy_mev_per_atom": 0, "lattice_angstrom": [[7.113, 0.000, 0.000], [0.000, 7.113, 0.000], [0.000, 0.000, 5.964]], "species": ["Rb", "Rb", "Se", "Se", "F", "F", "F", "F", "F", "F", "F", "F"], "frac_coords": [[0.000, 0.000, 0.000], [0.500, 0.500, 0.500], [0.000, 0.500, 0.750], [0.500, 0.000, 0.250], [0.191, 0.309, 0.750], [0.191, 0.691, 0.750], [0.309, 0.191, 0.250], [0.309, 0.809, 0.250], [0.691, 0.191, 0.250], [0.691, 0.809, 0.250], [0.809, 0.309, 0.750], [0.809, 0.691, 0.750]]}

(9)
{"formula": "YBeIn", "functional": "PBE-GGA", "state": "optimized geometry", "polymorph_energy_mev_per_atom": 27, "formation_energy_ev_per_atom": -0.24, "lattice_angstrom": [[4.122, 0.000, 0.000], [-2.059, 5.408, 0.000], [-2.060, -0.990, 5.579]], "species": ["Y", "Y", "Be", "Be", "In", "In"], "frac_coords": [[0.247, 0.319, 0.176], [0.753, 0.681, 0.824], [0.460, 0.086, 0.834], [0.540, 0.914, 0.166], [0.091, 0.784, 0.398], [0.909, 0.216, 0.602]]}

(10)
{"formula": "Sc4Zn2CdAg", "functional": "PBE-GGA", "state": "optimized geometry", "formation_energy_ev_per_atom": -0.31, "lattice_angstrom": [[2.421, 1.398, 7.902], [-2.421, 1.398, 7.902], [0.000, -2.795, 7.902]], "species": ["Sc", "Sc", "Sc", "Sc", "Zn", "Zn", "Cd", "Ag"], "frac_coords": [[0.123, 0.123, 0.123], [0.373, 0.373, 0.373], [0.627, 0.627, 0.627], [0.877, 0.877, 0.877], [0.248, 0.248, 0.248], [0.752, 0.752, 0.752], [0.500, 0.500, 0.500], [0.000, 0.000, 0.000]]}

(11)
{"formula": "BaGe2O2", "functional": "PBE-GGA", "state": "optimized geometry", "polymorph_energy_mev_per_atom": 0, "lattice_angstrom": [[3.588, 0.000, 0.000], [0.000, 3.588, 0.000], [0.000, 0.000, 13.593]], "species": ["Ba", "Ba", "Ge", "Ge", "Ge", "Ge", "O", "O", "O", "O"], "frac_coords": [[0.000, 0.000, 0.000], [0.500, 0.500, 0.500], [0.000, 0.500, 0.250], [0.000, 0.500, 0.750], [0.500, 0.000, 0.250], [0.500, 0.000, 0.750], [0.000, 0.000, 0.393], [0.000, 0.000, 0.607], [0.500, 0.500, 0.107], [0.500, 0.500, 0.893]]}

(12)
{"formula": "PuNpAu", "functional": "PBE-GGA", "state": "optimized geometry", "polymorph_energy_mev_per_atom": 148, "formation_energy_ev_per_atom": 0.06, "lattice_angstrom": [[3.364, 0.000, 0.000], [0.000, 3.364, 0.000], [0.000, 0.000, 10.438]], "species": ["Pu", "Pu", "Np", "Np", "Au", "Au"], "frac_coords": [[0.000, 0.000, 0.000], [0.500, 0.500, 0.500], [0.000, 0.000, 0.603], [0.500, 0.500, 0.103], [0.000, 0.000, 0.300], [0.500, 0.500, 0.800]]}

(13)
{"formula": "AcBe4Au12", "functional": "PBE-GGA", "state": "optimized geometry", "formation_energy_ev_per_atom": -0.12, "lattice_angstrom": [[-4.291, 4.291, 4.291], [4.291, -4.291, 4.291], [4.291, 4.291, -4.291]], "species": ["Ac", "Be", "Be", "Be", "Be", "Au", "Au", "Au", "Au", "Au", "Au", "Au", "Au", "Au", "Au", "Au", "Au"], "frac_coords": [[0.000, 0.000, 0.000], [0.000, 0.000, 0.500], [0.000, 0.500, 0.000], [0.500, 0.000, 0.000], [0.500, 0.500, 0.500], [0.160, 0.824, 0.337], [0.176, 0.337, 0.513], [0.176, 0.663, 0.840], [0.337, 0.160, 0.824], [0.337, 0.513, 0.176], [0.487, 0.824, 0.663], [0.513, 0.176, 0.337], [0.663, 0.487, 0.824], [0.663, 0.840, 0.176], [0.824, 0.337, 0.160], [0.824, 0.663, 0.487], [0.840, 0.176, 0.663]]}

(14)
{"formula": "Cs3RbRh2O6", "functional": "PBE-GGA", "state": "optimized geometry", "lattice_angstrom": [[6.831, 0.000, 0.000], [-3.416, 5.916, 0.000], [0.000, 0.000, 8.167]], "species": ["Cs", "Cs", "Cs", "Rb", "Rh", "Rh", "O", "O", "O", "O", "O", "O"], "frac_coords": [[0.000, 0.000, 0.000], [0.333, 0.667, 0.734], [0.667, 0.333, 0.266], [0.000, 0.000, 0.500], [0.333, 0.667, 0.260], [0.667, 0.333, 0.740], [0.180, 0.361, 0.263], [0.180, 0.820, 0.263], [0.361, 0.180, 0.737], [0.639, 0.820, 0.263], [0.820, 0.180, 0.737], [0.820, 0.639, 0.737]]}

(15)
{"formula": "Li3PrAu4", "functional": "PBE-GGA", "state": "optimized geometry", "formation_energy_ev_per_atom": -0.62, "lattice_angstrom": [[2.267, 1.309, 8.505], [-2.267, 1.309, 8.505], [0.000, -2.618, 8.505]], "species": ["Li", "Li", "Li", "Pr", "Au", "Au", "Au", "Au"], "frac_coords": [[0.000, 0.000, 0.000], [0.265, 0.265, 0.265], [0.735, 0.735, 0.735], [0.500, 0.500, 0.500], [0.101, 0.101, 0.101], [0.372, 0.372, 0.372], [0.628, 0.628, 0.628], [0.899, 0.899, 0.899]]}

(16)
{"formula": "Cs4U3FeN8", "functional": "PBE-GGA", "state": "optimized geometry", "lattice_angstrom": [[3.513, 2.028, 6.982], [-3.513, 2.028, 6.982], [0.000, -4.056, 6.982]], "species": ["Cs", "Cs", "Cs", "Cs", "U", "U", "U", "Fe", "N", "N", "N", "N", "N", "N", "N", "N"], "frac_coords": [[0.000, 0.000, 0.000], [0.000, 0.500, 0.500], [0.500, 0.000, 0.500], [0.500, 0.500, 0.000], [0.000, 0.000, 0.500], [0.000, 0.500, 0.000], [0.500, 0.000, 0.000], [0.500, 0.500, 0.500], [0.189, 0.726, 0.726], [0.216, 0.216, 0.216], [0.274, 0.274, 0.811], [0.274, 0.811, 0.274], [0.726, 0.189, 0.726], [0.726, 0.726, 0.189], [0.784, 0.784, 0.784], [0.811, 0.274, 0.274]]}

(17)
{"formula": "Cr2MoPt", "functional": "PBE-GGA", "state": "optimized geometry", "formation_energy_ev_per_atom": 0.08, "lattice_angstrom": [[2.620, 0.000, 0.000], [0.000, 3.935, 0.000], [-0.826, 0.000, 5.391]], "species": ["Cr", "Cr", "Mo", "Pt"], "frac_coords": [[0.080, 0.000, 0.251], [0.920, 0.000, 0.749], [0.500, 0.500, 0.500], [0.500, 0.500, 0.000]]}

(18)
{"formula": "Si2NiP", "functional": "PBE-GGA", "state": "optimized geometry", "lattice_angstrom": [[5.973, 0.000, 0.000], [0.000, 5.973, 0.000], [0.000, 0.000, 5.973]], "species": ["Si", "Si", "Si", "Si", "Si", "Si", "Si", "Si", "Ni", "Ni", "Ni", "Ni", "P", "P", "P", "P"], "frac_coords": [[0.000, 0.000, 0.000], [0.000, 0.500, 0.500], [0.250, 0.250, 0.250], [0.250, 0.750, 0.750], [0.500, 0.000, 0.500], [0.500, 0.500, 0.000], [0.750, 0.250, 0.750], [0.750, 0.750, 0.250], [0.250, 0.250, 0.750], [0.250, 0.750, 0.250], [0.750, 0.250, 0.250], [0.750, 0.750, 0.750], [0.000, 0.000, 0.500], [0.000, 0.500, 0.000], [0.500, 0.000, 0.000], [0.500, 0.500, 0.500]]}

(19)
{"formula": "NdTm2NpO8", "functional": "PBE-GGA", "state": "optimized geometry", "lattice_angstrom": [[5.079, 0.000, 0.000], [0.000, 7.061, 0.000], [-0.015, 0.000, 5.086]], "species": ["Nd", "Tm", "Tm", "Np", "O", "O", "O", "O", "O", "O", "O", "O"], "frac_coords": [[0.000, 0.000, 0.000], [0.500, 0.240, 0.500], [0.500, 0.760, 0.500], [0.000, 0.500, 0.000], [0.188, 0.284, 0.189], [0.188, 0.716, 0.189], [0.281, 0.500, 0.720], [0.319, 0.000, 0.683], [0.681, 0.000, 0.317], [0.719, 0.500, 0.280], [0.812, 0.284, 0.811], [0.812, 0.716, 0.811]]}

(20)
{"formula": "PmDy2ThSe4", "functional": "PBE-GGA", "state": "optimized geometry", "lattice_angstrom": [[7.128, 0.000, 0.000], [0.000, 4.088, 0.000], [-2.357, 0.000, 6.875]], "species": ["Pm", "Dy", "Dy", "Th", "Se", "Se", "Se", "Se"], "frac_coords": [[0.000, 0.000, 0.000], [0.000, 0.500, 0.500], [0.500, 0.000, 0.500], [0.500, 0.500, 0.000], [0.244, 0.000, 0.737], [0.253, 0.500, 0.262], [0.747, 0.500, 0.738], [0.756, 0.000, 0.263]]}

no.,total energy (eV/atom)
1,-4.93
2,-3.50
3,-3.70
4,-3.93
5,-6.22
6,-5.76
7,-3.92
8,-3.94
9,-4.55
10,-4.27
11,-5.06
12,-10.12
13,-3.55
14,-5.05
15,-3.57
16,-7.59
17,-8.95
18,-5.16
19,-8.70
20,-6.12